(1)
Compound: HgIr3S
Source: Alexandria via LeMat-Bulk
Functional: SCAN
Structure: single point on PBEsol structure

```
data_HgIr3S
_chemical_formula_sum 'Hg1 Ir3 S1'
_cell_length_a 4.383
_cell_length_b 4.383
_cell_length_c 4.383
_cell_angle_alpha 90.00
_cell_angle_beta 90.00
_cell_angle_gamma 90.00
_space_group_name_H-M_alt 'P 1'
_space_group_IT_number 1
loop_
_space_group_symop_operation_xyz
'x,y,z'
loop_
_atom_site_label
_atom_site_type_symbol
_atom_site_fract_x
_atom_site_fract_y
_atom_site_fract_z
_atom_site_occupancy
Hg1 Hg 0.000 0.000 0.000 1
Ir1 Ir 0.000 0.500 0.500 1
Ir2 Ir 0.500 0.000 0.500 1
Ir3 Ir 0.500 0.500 0.000 1
S1 S 0.500 0.500 0.500 1
```



(2)
Compound: TcMo2W
Source: Alexandria via LeMat-Bulk
Functional: SCAN
Structure: single point on PBEsol structure

Computed properties:
DFT formation energy ... 0.33 kcal/mol of atoms
Offset from the most stable computed form ... 11 meV per atom

```
data_TcMo2W
_chemical_formula_sum 'Tc1 Mo2 W1'
_cell_length_a 4.401
_cell_length_b 4.401
_cell_length_c 4.401
_cell_angle_alpha 60.00
_cell_angle_beta 60.00
_cell_angle_gamma 60.00
_space_group_name_H-M_alt 'P 1'
_space_group_IT_number 1
loop_
_space_group_symop_operation_xyz
'x,y,z'
loop_
_atom_site_label
_atom_site_type_symbol
_atom_site_fract_x
_atom_site_fract_y
_atom_site_fract_z
_atom_site_occupancy
Tc1 Tc 0.000 0.000 0.000 1
Mo1 Mo 0.250 0.250 0.250 1
Mo2 Mo 0.500 0.500 0.500 1
W1 W 0.750 0.750 0.750 1
```



(3)
Compound: Zn2Ga2Hg
Source: Alexandria via LeMat-Bulk
Functional: SCAN
Structure: single point on PBEsol structure

Computed properties:
DFT formation energy ... 3.06 kcal/mol of atoms
Offset from the most stable computed form ... 11 meV per atom

```
data_Zn2Ga2Hg
_chemical_formula_sum 'Zn4 Ga4 Hg2'
_cell_length_a 7.971
_cell_length_b 7.971
_cell_length_c 2.796
_cell_angle_alpha 90.00
_cell_angle_beta 90.00
_cell_angle_gamma 90.00
_space_group_name_H-M_alt 'P 1'
_space_group_IT_number 1
loop_
_space_group_symop_operation_xyz
'x,y,z'
loop_
_atom_site_label
_atom_site_type_symbol
_atom_site_fract_x
_atom_site_fract_y
_atom_site_fract_z
_atom_site_occupancy
Zn1 Zn 0.165 0.335 0.000 1
Zn2 Zn 0.335 0.835 0.000 1
Zn3 Zn 0.665 0.165 0.000 1
Zn4 Zn 0.835 0.665 0.000 1
Ga1 Ga 0.132 0.632 0.500 1
Ga2 Ga 0.368 0.132 0.500 1
Ga3 Ga 0.632 0.868 0.500 1
Ga4 Ga 0.868 0.368 0.500 1
Hg1 Hg 0.000 0.000 0.500 1
Hg2 Hg 0.500 0.500 0.500 1
```



(4)
Compound: FeCuI2N
Source: Alexandria via LeMat-Bulk
Functional: SCAN
Structure: single point on PBEsol structure

```
data_FeCuI2N
_chemical_formula_sum 'Fe1 Cu1 I2 N1'
_cell_length_a 5.398
_cell_length_b 5.398
_cell_length_c 3.600
_cell_angle_alpha 90.00
_cell_angle_beta 90.00
_cell_angle_gamma 90.00
_space_group_name_H-M_alt 'P 1'
_space_group_IT_number 1
loop_
_space_group_symop_operation_xyz
'x,y,z'
loop_
_atom_site_label
_atom_site_type_symbol
_atom_site_fract_x
_atom_site_fract_y
_atom_site_fract_z
_atom_site_occupancy
Fe1 Fe 0.000 0.000 0.000 1
Cu1 Cu 0.500 0.500 0.500 1
I1 I 0.000 0.500 0.500 1
I2 I 0.500 0.000 0.500 1
N1 N 0.500 0.500 0.000 1
```



(5)
Compound: Tc2MoW
Source: Alexandria via LeMat-Bulk
Functional: SCAN
Structure: single point on PBEsol structure

Computed properties:
DFT formation energy ... 0.96 kcal/mol of atoms
Offset from the most stable computed form ... 14 meV per atom

```
data_Tc2MoW
_chemical_formula_sum 'Tc2 Mo1 W1'
_cell_length_a 4.372
_cell_length_b 4.372
_cell_length_c 4.372
_cell_angle_alpha 60.00
_cell_angle_beta 60.00
_cell_angle_gamma 60.00
_space_group_name_H-M_alt 'P 1'
_space_group_IT_number 1
loop_
_space_group_symop_operation_xyz
'x,y,z'
loop_
_atom_site_label
_atom_site_type_symbol
_atom_site_fract_x
_atom_site_fract_y
_atom_site_fract_z
_atom_site_occupancy
Tc1 Tc 0.250 0.250 0.250 1
Tc2 Tc 0.750 0.750 0.750 1
Mo1 Mo 0.000 0.000 0.000 1
W1 W 0.500 0.500 0.500 1
```



(6)
Compound: ZnSb2
Source: Alexandria via LeMat-Bulk
Functional: SCAN
Structure: single point on PBEsol structure

```
data_ZnSb2
_chemical_formula_sum 'Zn2 Sb4'
_cell_length_a 8.247
_cell_length_b 8.247
_cell_length_c 5.662
_cell_angle_alpha 90.00
_cell_angle_beta 90.00
_cell_angle_gamma 158.60
_space_group_name_H-M_alt 'P 1'
_space_group_IT_number 1
loop_
_space_group_symop_operation_xyz
'x,y,z'
loop_
_atom_site_label
_atom_site_type_symbol
_atom_site_fract_x
_atom_site_fract_y
_atom_site_fract_z
_atom_site_occupancy
Zn1 Zn 0.174 0.826 0.750 1
Zn2 Zn 0.826 0.174 0.250 1
Sb1 Sb 0.178 0.822 0.250 1
Sb2 Sb 0.475 0.525 0.250 1
Sb3 Sb 0.525 0.475 0.750 1
Sb4 Sb 0.822 0.178 0.750 1
```



Table of electronic total energy (eV per atom), in record order: -57.25, -43.62, -25.45, -22.31, -43.63, -29.21